Here is a geometry-optimized P3Se structure from Alexandria. Energies are from PBE.

Properties
V (Å³/atom): 23.46
N(E_F) (states/eV/atom): 0.147
M_tot (μB/f.u.): 0.00
E_form (uncorrected) (kJ/mol of formula units): 64

Cell: 4.3741 3.2626 13.5275 Å, 90.00 103.60 90.00°
With the nearest neighbours (Å) after each atom.
Fractional positions:
P (0.0375, 0.5000, 0.9342)  2 P 2.17
P (0.3562, 0.0000, 0.9246)  3 P 2.17-2.32
P (0.0375, 0.0000, 0.4342)  2 P 2.17
P (0.3562, 0.5000, 0.4246)  3 P 2.17-2.32
P (0.7749, 0.5000, 0.5670)  2 Se 2.30, 1 P 2.32
P (0.7749, 0.0000, 0.0670)  2 Se 2.30, 1 P 2.32
Se (0.6729, 0.0000, 0.6748)  2 P 2.30
Se (0.6729, 0.5000, 0.1748)  2 P 2.30

Here is a geometry-optimized P3Se structure from Alexandria. Energies are from PBE.

Properties
V (Å³/atom): 28.76
N(E_F) (states/eV/atom): 1.462
M_tot (μB/f.u.): 0.00
E_form (uncorrected) (kJ/mol of formula units): 622

Cell: 4.8635 4.8635 4.8635 Å, 90.00 90.00 90.00°
With the nearest neighbours (Å) after each atom.
Fractional positions:
P (0.0000, 0.5000, 0.0000)  2 Se 2.43
P (0.0000, 0.0000, 0.5000)  2 Se 2.43
P (0.5000, 0.0000, 0.0000)  2 Se 2.43
Se (0.0000, 0.0000, 0.0000)  6 P 2.43

Here is a geometry-optimized P3Se structure from Alexandria. Energies are from PBE.

Properties
V (Å³/atom): 24.35
N(E_F) (states/eV/atom): 0.128
M_tot (μB/f.u.): 0.00
E_form (uncorrected) (kJ/mol of formula units): 56

Cell: 3.2943 4.0923 7.9494 Å, 80.28 78.19 69.03°
With the nearest neighbours (Å) after each atom.
Fractional positions:
P (0.0008, 0.7533, 0.1943)  2 P 2.18-2.19
P (0.5707, 0.4509, 0.3213)  3 P 2.18-2.29
P (0.3185, 0.7449, 0.5626)  1 P 2.29, 2 Se 2.30
Se (0.8481, 0.4826, 0.7388)  2 P 2.30

Here is a geometry-optimized P5Se structure from Alexandria. Energies are from PBE.

Properties
V (Å³/atom): 18.55
N(E_F) (states/eV/atom): 0.938
M_tot (μB/f.u.): 0.00
E_form (uncorrected) (kJ/mol of formula units): 514

Cell: 5.3995 5.3995 5.3995 Å, 60.00 60.00 60.00°
With the nearest neighbours (Å) after each atom.
Fractional positions:
P (0.6449, 0.6449, 0.6449)  3 P 2.27
P (0.2500, 0.2500, 0.2500)  12 P 3.22, 4 Se 3.31
P (0.6449, 0.6449, 0.0652)  3 P 2.27
P (0.0652, 0.6449, 0.6449)  3 P 2.27
P (0.6449, 0.0652, 0.6449)  3 P 2.27
Se (0.0000, 0.0000, 0.0000)  16 P 3.13-3.31

Here is a geometry-optimized P2Se structure from Alexandria. Energies are from PBE.

Properties
V (Å³/atom): 17.97
N(E_F) (states/eV/atom): 0.654
M_tot (μB/f.u.): 0.00
E_form (uncorrected) (kJ/mol of formula units): 171

Cell: 8.0700 8.0700 8.0700 Å, 153.04 153.04 38.49°
With the nearest neighbours (Å) after each atom.
Fractional positions:
P (0.4243, 0.4243, 0.0000)  3 P 2.31-2.41
P (0.5757, 0.5757, 0.0000)  3 P 2.31-2.41
P (0.3257, 0.8257, 0.5000)  3 P 2.31-2.41
P (0.1743, 0.6743, 0.5000)  3 P 2.31-2.41
Se (0.7500, 0.2500, 0.5000)  8 P 2.90
Se (0.0000, 0.0000, 0.0000)  8 P 2.90

Here is a geometry-optimized P3Se structure from Alexandria. Energies are from PBE.

Properties
V (Å³/atom): 24.15
N(E_F) (states/eV/atom): 0.197
M_tot (μB/f.u.): 0.00
E_form (uncorrected) (kJ/mol of formula units): 65

Cell: 5.6775 3.2862 10.4881 Å, 90.00 99.09 90.00°
With the nearest neighbours (Å) after each atom.
Fractional positions:
P (0.1980, 0.0000, 0.2370)  1 P 2.26, 2 Se 2.32
P (0.5894, 0.0000, 0.3233)  3 P 2.19-2.26
P (0.1980, 0.5000, 0.7370)  1 P 2.26, 2 Se 2.32
P (0.5894, 0.5000, 0.8233)  3 P 2.19-2.26
P (0.5815, 0.0000, 0.9601)  2 P 2.19
P (0.5815, 0.5000, 0.4601)  2 P 2.19
Se (0.1921, 0.5000, 0.0803)  2 P 2.32
Se (0.1921, 0.0000, 0.5803)  2 P 2.32

Here is a geometry-optimized PSe5 structure from Alexandria. Energies are from PBE.

Properties
V (Å³/atom): 26.37
N(E_F) (states/eV/atom): 0.120
M_tot (μB/f.u.): 0.00
E_form (uncorrected) (kJ/mol of formula units): 40

Cell: 7.4542 7.4542 8.4639 Å, 49.20 49.20 27.02°
With the nearest neighbours (Å) after each atom.
Fractional positions:
Se (0.7107, 0.7107, 0.5622)  4 Se 2.63-2.67
Se (0.0445, 0.0445, 0.6529)  1 P 2.36, 2 Se 2.63
Se (0.2692, 0.2692, 0.0580)  2 P 2.38
Se (0.5315, 0.5315, 0.0793)  1 Se 2.33
Se (0.3855, 0.3855, 0.4516)  1 Se 2.33
P (0.8920, 0.8920, 0.0294)  3 Se 2.36-2.38

Here is a geometry-optimized P2Se structure from Alexandria. Energies are from PBE.

Properties
V (Å³/atom): 21.52
N(E_F) (states/eV/atom): 0.368
M_tot (μB/f.u.): 0.00
E_form (uncorrected) (kJ/mol of formula units): 133

Cell: 4.0424 5.2137 6.1271 Å, 90.00 90.00 90.00°
With the nearest neighbours (Å) after each atom.
Fractional positions:
P (0.0000, 0.8353, 0.4021)  1 P 2.10
P (0.5000, 0.6647, 0.9021)  1 P 2.10
P (0.0000, 0.1647, 0.5979)  1 P 2.10
P (0.5000, 0.3353, 0.0979)  1 P 2.10
Se (0.5000, 0.5000, 0.5000)  6 P 2.61-2.74
Se (0.0000, 0.0000, 0.0000)  6 P 2.61-2.74

Here is a geometry-optimized P3Se structure from Alexandria. Energies are from PBE.

Properties
V (Å³/atom): 17.16
N(E_F) (states/eV/atom): 0.394
M_tot (μB/f.u.): 0.00
E_form (uncorrected) (kJ/mol of formula units): 164

Cell: 6.9639 6.9639 6.5373 Å, 90.00 90.00 120.00°
With the nearest neighbours (Å) after each atom.
Fractional positions:
P (0.0000, 0.5000, 0.0000)  4 P 2.53, 2 Se 2.59
P (0.6388, 0.8194, 0.7500)  4 P 2.53, 2 Se 2.72
P (0.3612, 0.1806, 0.2500)  4 P 2.53, 2 Se 2.72
P (0.0000, 0.5000, 0.5000)  4 P 2.53, 2 Se 2.59
P (0.8194, 0.1806, 0.2500)  4 P 2.53, 2 Se 2.72
P (0.1806, 0.3612, 0.7500)  4 P 2.53, 2 Se 2.72
P (0.5000, 0.0000, 0.0000)  4 P 2.53, 2 Se 2.59
P (0.8194, 0.6388, 0.2500)  4 P 2.53, 2 Se 2.72
P (0.5000, 0.5000, 0.5000)  4 P 2.53, 2 Se 2.59
P (0.5000, 0.0000, 0.5000)  4 P 2.53, 2 Se 2.59
P (0.1806, 0.8194, 0.7500)  4 P 2.53, 2 Se 2.72
P (0.5000, 0.5000, 0.0000)  4 P 2.53, 2 Se 2.59
Se (0.0000, 0.0000, 0.5000)  6 P 2.72
Se (0.3333, 0.6667, 0.2500)  6 P 2.59
Se (0.0000, 0.0000, 0.0000)  6 P 2.72
Se (0.6667, 0.3333, 0.7500)  6 P 2.59

Here is a geometry-optimized P3Se structure from Alexandria. Energies are from PBE.

Properties
V (Å³/atom): 26.60
N(E_F) (states/eV/atom): 0.198
M_tot (μB/f.u.): 0.00
E_form (uncorrected) (kJ/mol of formula units): 91

Cell: 3.2346 4.9096 7.1679 Å, 96.81 92.20 109.14°
With the nearest neighbours (Å) after each atom.
Fractional positions:
P (0.8415, 0.6822, 0.7736)  3 P 2.18-2.21
P (0.4986, 0.9982, 0.7725)  3 P 2.18-2.22
P (0.5781, 0.2950, 0.5564)  1 Se 2.13, 2 P 2.21-2.22
Se (0.5607, 0.2259, 0.2571)  1 P 2.13

Here is a geometry-optimized P2Se structure from Alexandria. Energies are from PBE.

Properties
V (Å³/atom): 17.96
N(E_F) (states/eV/atom): 0.622
M_tot (μB/f.u.): 0.00
E_form (uncorrected) (kJ/mol of formula units): 186

Cell: 4.0846 4.0846 3.7289 Å, 90.00 90.00 120.00°
With the nearest neighbours (Å) after each atom.
Fractional positions:
P (0.6667, 0.3333, 0.5000)  3 P 2.36
P (0.3333, 0.6667, 0.5000)  3 P 2.36
Se (0.0000, 0.0000, 0.0000)  12 P 3.01

Here is a geometry-optimized P3Se5 structure from Alexandria. Energies are from PBE.

Properties
V (Å³/atom): 28.22
N(E_F) (states/eV/atom): 0.479
M_tot (μB/f.u.): 0.00
E_form (uncorrected) (kJ/mol of formula units): 307

Cell: 5.2526 5.2526 8.1837 Å, 90.00 90.00 90.51°
With the nearest neighbours (Å) after each atom.
Fractional positions:
P (0.2898, 0.2898, 0.5000)  2 Se 2.25
P (0.7102, 0.7102, 0.5000)  2 Se 2.25
P (0.5000, 0.5000, 0.0000)  4 Se 2.63
Se (0.0000, 0.0000, 0.0000)  4 Se 2.63
Se (0.7175, 0.2825, 0.5000)  2 P 2.25
Se (0.5000, 0.0000, 0.0000)  2 Se 2.63, 2 P 2.63
Se (0.0000, 0.5000, 0.0000)  2 Se 2.63, 2 P 2.63
Se (0.2825, 0.7175, 0.5000)  2 P 2.25

- Which of these has the lowest E_form (uncorrected)?
  PSe5